Au5Cl | PBE | optimized geometry

Formation energy from raw total energies (eV per atom): 0.26
Relative energy among the computed polymorphs (meV/atom): 139

Unit cell a=7.8604 b=7.8604 c=7.8604 alpha=90.00 beta=90.00 gamma=90.00
Space group F-43m (No. 216)
One atom of each set of equivalent atoms:
Au: 0.0000 0.0000 0.0000 x4
Au: 0.1250 0.1250 0.6250 x16
Cl: 0.2500 0.2500 0.2500 x4



CsLiCd2Ag | PBE | optimized geometry

Energy of formation (meV/atom): 18

Unit cell a=5.5219 b=5.5219 c=5.4318 alpha=90.00 beta=90.00 gamma=90.00
Space group P4/mmm (No. 123)
One atom of each set of equivalent atoms:
Cs: 0.0000 0.0000 0.0000 x1
Li: 0.5000 0.5000 0.0000 x1
Cd: 0.0000 0.5000 0.5000 x2
Ag: 0.5000 0.5000 0.5000 x1



CaAc4Pr2 | PBE | optimized geometry

Relative energy among the computed polymorphs (meV/atom): 99
Energy of formation (meV/atom): 224

Unit cell a=7.3309 b=12.4678 c=13.2419 alpha=90.00 beta=90.00 gamma=90.00
Space group Imma (No. 74)
One atom of each set of equivalent atoms:
Ca: 0.2500 0.2500 0.2500 x4
Ac: 0.0000 0.0047 0.1464 x8
Ac: 0.2320 0.2500 0.9868 x8
Pr: 0.0000 0.0000 0.5000 x4
Pr: 0.0000 0.2500 0.7230 x4



La2PrGaCo | PBE | optimized geometry

Energy of formation (meV/atom): -161

Unit cell a=5.1688 b=5.1688 c=5.4662 alpha=90.00 beta=90.00 gamma=90.00
Space group P4/mmm (No. 123)
One atom of each set of equivalent atoms:
La: 0.0000 0.5000 0.0000 x2
Pr: 0.0000 0.0000 0.5000 x1
Ga: 0.5000 0.5000 0.5000 x1
Co: 0.0000 0.0000 0.0000 x1



SrInSb | PBE | optimized geometry

Formation energy from raw total energies (eV per atom): -0.59

Unit cell a=4.6584 b=4.6584 c=5.4908 alpha=90.00 beta=90.00 gamma=120.00
Space group P3m1 (No. 156)
One atom of each set of equivalent atoms:
Sr: 0.0000 0.0000 0.0000 x1
In: 0.6667 0.3333 0.3948 x1
Sb: 0.3333 0.6667 0.6373 x1



PmSmIN | PBE | optimized geometry

Formation energy from raw total energies (eV per atom): -1.21

Unit cell a=3.7676 b=3.7676 c=22.6718 alpha=90.00 beta=90.00 gamma=120.00
Space group R3m (No. 160, hexagonal axes)
One atom of each set of equivalent atoms:
Pm: 0.0000 0.0000 0.0000 x3
Sm: 0.0000 0.0000 0.7806 x3
I: 0.0000 0.0000 0.2230 x3
N: 0.0000 0.0000 0.3934 x3



OsRhW2 | PBE | optimized geometry

Relative energy among the computed polymorphs (meV/atom): 12
Energy of formation (meV/atom): -60

Unit cell a=2.7884 b=2.7884 c=7.8017 alpha=90.00 beta=90.00 gamma=90.00
Space group P4/mmm (No. 123)
One atom of each set of equivalent atoms:
Os: 0.0000 0.0000 0.0000 x1
Rh: 0.0000 0.0000 0.5000 x1
W: 0.5000 0.5000 0.2470 x2



Pr3Sb5Rh6 | PBE | optimized geometry

Formation energy from raw total energies (eV per atom): -0.82

Unit cell a=4.3484 b=13.3859 c=10.2630 alpha=90.00 beta=90.00 gamma=90.00
Space group Pmmn (No. 59, origin choice 2)
One atom of each set of equivalent atoms:
Pr: 0.2500 0.0812 0.2495 x4
Pr: 0.2500 0.7500 0.2506 x2
Sb: 0.2500 0.0819 0.8530 x4
Sb: 0.2500 0.6291 0.5230 x4
Sb: 0.2500 0.7500 0.8519 x2
Rh: 0.2500 0.0577 0.5990 x4
Rh: 0.2500 0.2500 0.4924 x2
Rh: 0.2500 0.2500 0.9952 x2
Rh: 0.2500 0.5831 0.0028 x4



HoReBr | PBE | optimized geometry

Formation energy from raw total energies (eV per atom): -0.86

Unit cell a=4.1161 b=4.1161 c=34.4421 alpha=90.00 beta=90.00 gamma=120.00
Space group R-3m (No. 166, hexagonal axes)
One atom of each set of equivalent atoms:
Ho: 0.0000 0.0000 0.0623 x6
Re: 0.0000 0.0000 0.3394 x6
Br: 0.0000 0.0000 0.2183 x6



Mg3CdBi3 | PBE | optimized geometry

Relative energy among the computed polymorphs (meV/atom): 370
Energy of formation (meV/atom): 274

Unit cell a=8.2173 b=8.2173 c=8.2173 alpha=90.00 beta=90.00 gamma=90.00
Space group Pm-3n (No. 223)
One atom of each set of equivalent atoms:
Mg: 0.0000 0.2500 0.5000 x6
Cd: 0.0000 0.0000 0.0000 x2
Bi: 0.0000 0.5000 0.2500 x6



AgSnSeBr | PBE | optimized geometry

Formation energy from raw total energies (eV per atom): -0.30

Unit cell a=6.8741 b=3.9705 c=8.6956 alpha=90.00 beta=105.43 gamma=90.00
Space group Cm (No. 8)
One atom of each set of equivalent atoms:
Ag: 0.0000 0.0000 0.0000 x2
Sn: 0.0867 0.5000 0.7598 x2
Se: 0.1907 0.0000 0.5737 x2
Br: 0.3912 0.0000 0.1729 x2



Ce2ReHg | PBE | optimized geometry

Relative energy among the computed polymorphs (meV/atom): 152
Energy of formation (meV/atom): 42

Unit cell a=4.0615 b=4.0615 c=23.0225 alpha=90.00 beta=90.00 gamma=120.00
Space group R-3m (No. 166, hexagonal axes)
One atom of each set of equivalent atoms:
Ce: 0.0000 0.0000 0.2316 x6
Re: 0.0000 0.0000 0.5000 x3
Hg: 0.0000 0.0000 0.0000 x3



Copy entry 5 word for word.
SrInSb | PBE | optimized geometry

Formation energy from raw total energies (eV per atom): -0.59

Unit cell a=4.6584 b=4.6584 c=5.4908 alpha=90.00 beta=90.00 gamma=120.00
Space group P3m1 (No. 156)
One atom of each set of equivalent atoms:
Sr: 0.0000 0.0000 0.0000 x1
In: 0.6667 0.3333 0.3948 x1
Sb: 0.3333 0.6667 0.6373 x1